Entry from Alexandria: a geometry-optimized RbBaNb structure (GGA-PBE).

Values from the calculation:
Energy relative to the lowest polymorph listed for this composition, kJ per mole of atoms: 84.23
E_form, eV per atom: 1.33
Size of the total moment, μB/cell: 3.5
Raw total energy, eV per cell: -8.98

abc: 6.3182 6.3182 3.4801
angles: 90.00 90.00 120.00
Space group P-6m2 (No. 187)
Inequivalent atoms, fractional coordinates:
Rb  0.0000  0.0000  0.0000
Ba  0.3333  0.6667  0.5000
Nb  0.6667  0.3333  0.5000

***

Entry from Alexandria: a geometry-optimized CuTc2W structure (GGA-PBE).

Values from the calculation:
Energy relative to the lowest polymorph listed for this composition, kJ per mole of atoms: 2.81
E_form, eV per atom: 0.19
Size of the total moment, μB/cell: 0.0
Raw total energy, eV per cell: -148.14

abc: 6.1420 6.1420 6.1420
angles: 90.00 90.00 90.00
Space group Fm-3m (No. 225)
Inequivalent atoms, fractional coordinates:
Cu  0.0000  0.0000  0.0000
Tc  0.2500  0.2500  0.2500
W  0.0000  0.0000  0.5000

***

Entry from Alexandria: a geometry-optimized Sc2CuSe structure (GGA-PBE).

Values from the calculation:
Formation energy (no corrections), eV per atom: -0.931
Size of the total moment, μB/cell: 0.0
Raw total energy, eV per cell: -95.87

abc: 3.7540 21.3559 3.8667
angles: 90.00 90.00 90.00
Space group Cmcm (No. 63)
Inequivalent atoms, fractional coordinates:
Sc  0.0000  0.0655  0.2500
Sc  0.0000  0.3237  0.2500
Cu  0.0000  0.4601  0.2500
Se  0.0000  0.1929  0.2500

***

Entry from Alexandria: a geometry-optimized CaTe2Pt structure (GGA-PBE).

Values from the calculation:
Energy relative to the lowest polymorph listed for this composition, kJ per mole of atoms: 18.69
Formation energy (no corrections), eV per atom: -0.665
Size of the total moment, μB/cell: 0.0
Raw total energy, eV per cell: -16.98

abc: 4.1149 4.1149 6.1518
angles: 90.00 90.00 90.00
Space group P4mm (No. 99)
Inequivalent atoms, fractional coordinates:
Ca  0.0000  0.0000  0.0000
Te  0.0000  0.0000  0.4802
Te  0.5000  0.5000  0.8775
Pt  0.5000  0.5000  0.4210

***

Entry from Alexandria: a geometry-optimized Ho4UBi5 structure (GGA-PBE).

Values from the calculation:
E_form, eV per atom: -0.62
Size of the total moment, μB/cell: 5.3
Raw total energy, eV per cell: -110.50

abc: 9.9960 9.9960 6.3294
angles: 90.00 90.00 90.00
Space group I4/m (No. 87)
Inequivalent atoms, fractional coordinates:
Ho  0.1006  0.3004  0.0000
U  0.0000  0.0000  0.5000
Bi  0.0000  0.0000  0.0000
Bi  0.0999  0.3013  0.5000

***

Entry from Alexandria: a geometry-optimized HoCd6Hg8 structure (GGA-PBE).

Values from the calculation:
E_form, eV per atom: -0.03
Size of the total moment, μB/cell: 0.0
Raw total energy, eV per cell: -38.70

abc: 9.6106 9.6106 14.4316
angles: 90.00 90.00 120.00
Space group R-3 (No. 148, hexagonal axes)
Inequivalent atoms, fractional coordinates:
Ho  0.0000  0.0000  0.0000
Cd  0.0219  0.8217  0.4042
Hg  0.0000  0.0000  0.2214
Hg  0.0209  0.7311  0.9023

***

Entry from Alexandria: a geometry-optimized Ti3HCS structure (GGA-PBE).

Values from the calculation:
Size of the total moment, μB/cell: 0.0
Raw total energy, eV per cell: -91.62

abc: 6.5682 3.1489 6.9757
angles: 90.00 104.31 90.00
Space group P2_1/m (No. 11)
Inequivalent atoms, fractional coordinates:
Ti  0.0514  0.2500  0.3476
Ti  0.2595  0.2500  0.9763
Ti  0.3795  0.7500  0.6362
H  0.4237  0.7500  0.9157
C  0.1681  0.2500  0.6601
S  0.3080  0.7500  0.2608

***

Entry from Alexandria: a geometry-optimized ErNp3 structure (GGA-PBE).

Values from the calculation:
Energy relative to the lowest polymorph listed for this composition, kJ per mole of atoms: 0.30
E_form, eV per atom: 0.70
Size of the total moment, μB/cell: 12.0
Raw total energy, eV per cell: -40.57

abc: 4.6131 4.6131 4.6131
angles: 90.00 90.00 90.00
Space group Pm-3m (No. 221)
Inequivalent atoms, fractional coordinates:
Er  0.0000  0.0000  0.0000
Np  0.0000  0.5000  0.5000